(1)
Below is crystalline NaAs2SBr at its relaxed geometry, with properties calculated at the GGA-PBE level.

Calculated values
Total magnetic moment in μB per formula unit: 0.01
Density in Mg/m³: 3.51
E above lowest polymorph in meV per atom: 954
Uncorrected formation energy in meV per atom: 1049

Unit cell a=5.258 b=5.258 c=4.874 alpha=90.00 beta=90.00 gamma=90.00
Sites, in units of the cell vectors:
Na  0.000  0.000  0.000
As  0.000  0.500  0.000
As  0.500  0.000  0.000
S  0.500  0.500  0.500
Br  0.000  0.000  0.500

---

(2)
Below is crystalline Th3Zn3In at its relaxed geometry, with properties calculated at the GGA-PBE level.

Calculated values
E_tot in eV per atom: -4.34
Total magnetic moment in μB per formula unit: 0.00
Density in Mg/m³: 9.66

Unit cell a=4.595 b=6.044 c=13.732 alpha=81.17 beta=80.37 gamma=67.66
Sites, in units of the cell vectors:
Th  0.534  0.306  0.626
Th  0.466  0.694  0.374
Th  0.252  0.289  0.208
Th  0.748  0.711  0.792
Th  0.403  0.277  0.916
Th  0.597  0.723  0.084
Zn  0.880  0.696  0.544
Zn  0.120  0.304  0.456
Zn  0.108  0.850  0.933
Zn  0.892  0.150  0.067
Zn  0.960  0.853  0.227
Zn  0.040  0.147  0.773
In  0.751  0.108  0.391
In  0.249  0.892  0.609

---

(3)
Below is crystalline Si2AsRh at its relaxed geometry, with properties calculated at the GGA-PBE level.

Calculated values
Total magnetic moment in μB per formula unit: 0.00
Density in Mg/m³: 6.39
E above lowest polymorph in meV per atom: 367
Uncorrected formation energy in meV per atom: 155

Unit cell a=4.580 b=4.580 c=4.580 alpha=125.93 beta=125.93 gamma=80.01
Sites, in units of the cell vectors:
As  0.500  0.500  0.000
Rh  0.750  0.250  0.500
Si  0.000  0.000  0.000
Si  0.250  0.750  0.500

---

(4)
Below is crystalline U2ZnSb at its relaxed geometry, with properties calculated at the GGA-PBE level.

Calculated values
Total magnetic moment in μB per formula unit: 3.80
Density in Mg/m³: 13.20
Uncorrected formation energy in meV per atom: 3

Unit cell a=5.031 b=4.073 c=4.073 alpha=90.00 beta=90.00 gamma=90.00
Sites, in units of the cell vectors:
Sb  0.500  0.000  0.000
Zn  0.500  0.500  0.500
U  0.000  0.000  0.500
U  0.000  0.500  0.000

---

(5)
Below is crystalline Ta3H2 at its relaxed geometry, with properties calculated at the GGA-PBE level.

Calculated values
Total magnetic moment in μB per formula unit: 0.00
Density in Mg/m³: 15.04
E above lowest polymorph in meV per atom: 170

Unit cell a=5.136 b=5.136 c=5.738 alpha=105.02 beta=105.02 gamma=114.90
Sites, in units of the cell vectors:
Ta  0.442  0.771  0.999
Ta  0.772  0.443  0.001
Ta  0.521  0.692  0.499
Ta  0.193  0.022  0.501
Ta  0.086  0.086  0.000
Ta  0.836  0.336  0.500
H  0.151  0.315  0.766
H  0.549  0.385  0.234
H  0.065  0.401  0.266
H  0.135  0.799  0.734

---

(6)
Below is crystalline Sm3Tm8Mg at its relaxed geometry, with properties calculated at the GGA-PBE level.

Calculated values
E_tot in eV per atom: -3.67
Total magnetic moment in μB per formula unit: 0.00
Density in Mg/m³: 7.37

Unit cell a=8.240 b=8.240 c=8.240 alpha=95.16 beta=117.07 gamma=117.07
Sites, in units of the cell vectors:
Sm  0.500  0.750  0.250
Sm  0.500  0.250  0.750
Sm  0.000  0.500  0.500
Tm  0.485  0.237  0.237
Tm  0.515  0.752  0.752
Tm  0.000  0.763  0.248
Tm  0.000  0.248  0.763
Tm  0.253  0.373  0.373
Tm  0.747  0.121  0.121
Tm  0.000  0.627  0.879
Tm  0.000  0.879  0.627
Mg  0.000  0.000  0.000